Computed, not measured: NaGe2Rh2 after structural relaxation at the PBEsol level of DFT.

Calculated total energy (Ha/atom): -0.2206
Crystal system: tetragonal
Total magnetization (μB per atom): 0.00
Space group: I4/mmm

a = 5.9150 Å, b = 5.9150 Å, c = 5.9150 Å
α = 139.60°, β = 139.60°, γ = 58.47°
Closest atoms and distances in Å follow each position.
Sites, in units of the cell vectors:
Na 0.0000 0.0000 0.0000  8 Ge 3.16, 8 Rh 3.29
Ge 0.3750 0.3750 0.0000  4 Rh 2.42, 1 Ge 2.58
Ge 0.6250 0.6250 0.0000  4 Rh 2.42, 1 Ge 2.58
Rh 0.2500 0.7500 0.5000  4 Ge 2.42
Rh 0.7500 0.2500 0.5000  4 Ge 2.42